[1]
Material: V5Ga2Ni12
Method: DFT, PBE
State: optimized geometry

a b c (Å): 4.862 7.259 8.006
angles (deg): 108.60 90.00 109.56
Positions (direct):
V: 0.690 0.381 0.372
V: 0.361 0.722 0.139
V: 0.310 0.619 0.628
V: 0.000 0.000 0.500
V: 0.639 0.278 0.861
Ni: 0.901 0.308 0.609
Ni: 0.099 0.692 0.391
Ni: 0.593 0.692 0.391
Ni: 0.515 0.030 0.360
Ni: 0.444 0.401 0.116
Ni: 0.885 0.769 0.687
Ni: 0.407 0.308 0.609
Ni: 0.958 0.401 0.116
Ni: 0.042 0.599 0.884
Ni: 0.556 0.599 0.884
Ni: 0.115 0.231 0.313
Ni: 0.485 0.970 0.640
Ga: 0.750 0.000 0.000
Ga: 0.250 0.000 0.000

## Properties
The symmetry is C2/m, No. 12. The value obtained for the magnetization is 0.000 μB per atom. The formation energy is 0.10 eV per atom. The calculated total energy is -6.2719 eV per atom. The value obtained for the density of states at the Fermi level is 17.1 states/eV per cell.



[2]
Material: PaZn2Pd
Method: DFT, PBE
State: optimized geometry

a b c (Å): 3.115 3.115 7.267
angles (deg): 90.00 90.00 90.00
Positions (direct):
Zn: 0.000 0.000 0.201
Zn: 0.000 0.000 0.799
Pd: 0.500 0.500 0.000
Pa: 0.500 0.500 0.500

## Properties
As for the distance to the lowest polymorph of the same formula: 75.0 meV per atom. The symmetry is P4/mmm, No. 123. The value obtained for the magnetization is 0.066 μB per atom. The formation energy is -0.27 eV per atom. The calculated total energy is -4.5798 eV per atom. The value obtained for the density of states at the Fermi level is 4.0 states/eV per cell.



[3]
Material: Be3Br
Method: DFT, PBE
State: optimized geometry

a b c (Å): 4.220 4.220 4.220
angles (deg): 60.00 60.00 60.00
Positions (direct):
Be: 0.000 0.000 0.000
Be: 0.500 0.500 0.500
Be: 0.250 0.250 0.250
Br: 0.750 0.750 0.750

## Properties
Its uncorrected formation energy is 1344 meV/atom. As for the distance to the lowest polymorph of the same formula: 1153.5 meV per atom. The symmetry is Fm-3m, No. 225. The value obtained for the magnetization is 0.000 μB per atom. The calculated total energy is -1.8688 eV per atom. The value obtained for the density of states at the Fermi level is 3.4 states/eV per cell.



> The highest calculated total energy belongs to which entry?

Be3Br



> Among the records above, which one has the highest calculated total energy?

Be3Br